Here is a relaxed SrRe3Ni crystal from Alexandria. Energies are from PBEsol.

Unit cell a=4.6417 b=4.6417 c=4.6417 alpha=90.00 beta=90.00 gamma=90.00
Last column: nearest neighbours and their distance in Å.
Fractional coordinates of all 5 atoms:
Sr 0.0000 0.0000 0.0000  6 Re 2.32
Re 0.0000 0.0000 0.5000  2 Sr 2.32
Re 0.0000 0.5000 0.0000  2 Sr 2.32
Re 0.5000 0.0000 0.0000  2 Sr 2.32
Ni 0.5000 0.5000 0.5000  12 Re 3.28

Properties
Formation energy (meV per atom): 4074
Spin magnetization (μB/f.u.): 0.000
Crystal system: cubic
Final energy (eV per atom): -5.52
DOS at the Fermi energy (states/eV/f.u.): 5.25